VASP calculation (GGA-PBE) on crystalline CoRh2 at its relaxed geometry.

Summary:
E_form, meV/atom: 39.6
Uncorrected energy, eV per atom: -7.230
Crystal system: monoclinic

a b c (Å): 5.047 5.047 10.231
angles (deg): 140.43 140.43 30.82
Atoms (fractional coordinates):
Rh 0.769 0.769 0.049
Rh 0.667 0.667 0.333
Rh 0.449 0.449 0.391
Rh 0.115 0.115 0.725
Co 0.995 0.995 0.994
Co 0.338 0.338 0.674